A plane-wave DFT calculation with PBE was carried out for crystalline Sm6Ag5Sb at its relaxed geometry.

Output
DOS at the Fermi energy in states/eV/cell: 12.8
Total magnetic moment in μB/cell: 0.99
Formation energy from raw total energies in eV per atom: -0.389

Cell lengths 5.2443, 9.1743, 9.1743 Å; angles 120.12, 106.63, 106.63 degrees
Atoms (fractional coordinates):
Sb1 0.0000 0.0000 0.0000
Ag1 0.5000 0.1748 0.8252
Ag2 0.0000 0.3322 0.6678
Ag3 0.5000 0.5000 0.5000
Ag4 0.0000 0.6678 0.3322
Ag5 0.5000 0.8252 0.1748
Sm1 0.2512 0.0835 0.4183
Sm2 0.7488 0.5817 0.9165
Sm3 0.7524 0.2520 0.2520
Sm4 0.2476 0.7480 0.7480
Sm5 0.2512 0.4183 0.0835
Sm6 0.7488 0.9165 0.5817